SrAsBr: relaxed, PBE.

Output
As for the density of states at the Fermi level: 2.7 states/eV per cell. As for the space-group type: F-43m, No. 216.

Unit cell a=5.2289 b=5.2289 c=5.2289 alpha=60.00 beta=60.00 gamma=60.00
Closest atoms and distances in Å follow each position.
Sites, in units of the cell vectors:
1 Br 0.7500 0.7500 0.7500  4 As 3.20, 4 Sr 3.20
2 As 0.5000 0.5000 0.5000  4 Br 3.20
3 Sr 0.0000 0.0000 0.0000  4 Br 3.20

***

SrAsBr2: relaxed, PBE.

Output
As for the density of states at the Fermi level: 2.0 states/eV per cell. As for the space-group type: Immm, No. 71.

Unit cell a=6.0444 b=6.0444 c=6.0444 alpha=143.17 beta=120.74 gamma=71.85
Closest atoms and distances in Å follow each position.
Sites, in units of the cell vectors:
1 As 0.7500 0.2500 0.5000  4 Br 3.01
2 Br 0.9874 0.9874 0.0000  2 As 3.01, 2 Sr 3.20
3 Br 0.5126 0.5126 0.0000  2 As 3.01, 2 Sr 3.20
4 Sr 0.2500 0.7500 0.5000  4 Br 3.20, 4 As 3.55

***

SrAsBr2: relaxed, PBE.

Output
As for the density of states at the Fermi level: 3.4 states/eV per cell. As for the space-group type: P4/mmm, No. 123.

Unit cell a=4.3614 b=4.9844 c=4.9844 alpha=90.00 beta=90.00 gamma=90.00
Closest atoms and distances in Å follow each position.
Sites, in units of the cell vectors:
1 Br 0.0000 0.5000 0.5000  4 As 3.31, 4 Sr 3.31, 4 Br 3.52
2 Br 0.0000 0.0000 0.0000  4 As 3.31, 4 Sr 3.31, 4 Br 3.52
3 Sr 0.5000 0.5000 0.0000  8 Br 3.31, 4 As 3.52
4 As 0.5000 0.0000 0.5000  8 Br 3.31, 4 Sr 3.52

***

SrAsBr: relaxed, PBE.

Output
As for the density of states at the Fermi level: 3.2 states/eV per cell. As for the space-group type: P3m1, No. 156.

Unit cell a=4.0056 b=4.0056 c=8.1112 alpha=90.00 beta=90.00 gamma=120.00
Closest atoms and distances in Å follow each position.
Sites, in units of the cell vectors:
1 Sr 0.6667 0.3333 0.6464  3 Br 2.98, 3 As 3.31
2 As 0.0000 0.0000 0.9387  3 Sr 3.31
3 Br 0.3333 0.6667 0.4149  3 Sr 2.98

***

Sr6AsBr8: relaxed, PBE.

Output
As for the density of states at the Fermi level: 5.1 states/eV per cell. As for the space-group type: R-3, No. 148.

Unit cell a=8.0283 b=8.0283 c=11.1112 alpha=68.82 beta=68.82 gamma=60.00
Closest atoms and distances in Å follow each position.
Sites, in units of the cell vectors:
1 Sr 0.6302 0.2480 0.1838  5 Br 3.06-3.35, 1 As 3.10
2 Sr 0.7520 0.0621 0.8162  5 Br 3.06-3.35, 1 As 3.10
3 Sr 0.3698 0.7520 0.8162  5 Br 3.06-3.35, 1 As 3.10
4 Sr 0.0621 0.3698 0.8162  5 Br 3.06-3.35, 1 As 3.10
5 Sr 0.9379 0.6302 0.1838  5 Br 3.06-3.35, 1 As 3.10
6 Sr 0.2480 0.9379 0.1838  5 Br 3.06-3.35, 1 As 3.10
7 Br 0.7598 0.4630 0.6677  3 Sr 3.06-3.11
8 Br 0.6666 0.6666 0.0003  6 Sr 3.34-3.35
9 Br 0.4630 0.1094 0.6677  3 Sr 3.06-3.11
10 Br 0.5370 0.8906 0.3323  3 Sr 3.06-3.11
11 Br 0.8906 0.2402 0.3323  3 Sr 3.06-3.11
12 Br 0.3334 0.3334 0.9997  6 Sr 3.34-3.35
13 Br 0.1094 0.7598 0.6677  3 Sr 3.06-3.11
14 Br 0.2402 0.5370 0.3323  3 Sr 3.06-3.11
15 As 0.0000 0.0000 0.0000  6 Sr 3.10

***

SrAsBr2: relaxed, PBE.

Output
As for the density of states at the Fermi level: 2.0 states/eV per cell. As for the space-group type: C2/m, No. 12.

Unit cell a=5.2548 b=5.8147 c=5.2260 alpha=65.88 beta=84.83 gamma=114.29
Closest atoms and distances in Å follow each position.
Sites, in units of the cell vectors:
1 As 0.5000 0.5000 0.0000  4 Br 3.01
2 Sr 0.0000 0.5000 0.5000  4 Br 3.01
3 Br 0.5000 0.0000 0.5000  2 Sr 3.01, 2 As 3.01
4 Br 0.0000 0.0000 0.0000  2 As 3.01, 2 Sr 3.01

***

SrAsBr2: relaxed, PBE.

Output
As for the density of states at the Fermi level: 0.1 states/eV per cell. As for the space-group type: Pm, No. 6.

Unit cell a=5.8743 b=4.7971 c=5.9279 alpha=57.21 beta=90.00 gamma=90.00
Closest atoms and distances in Å follow each position.
Sites, in units of the cell vectors:
1 Br 0.5000 0.4278 0.2506  1 As 2.52
2 Br 0.0000 0.0026 0.0947  3 Sr 3.09-3.16
3 Sr 0.0000 0.2255 0.4980  5 Br 3.09-3.19, 2 As 3.32
4 As 0.5000 0.8441 0.6567  1 Br 2.52

***

SrAsBr6: relaxed, PBE.

Output
As for the density of states at the Fermi level: 7.6 states/eV per cell. As for the space-group type: P-1, No. 2.

Unit cell a=6.9103 b=6.9271 c=7.5780 alpha=62.95 beta=62.93 gamma=60.02
Closest atoms and distances in Å follow each position.
Sites, in units of the cell vectors:
1 As 0.0000 0.0000 0.0000  6 Br 2.60
2 Br 0.7893 0.0379 0.7697  1 As 2.60
3 Br 0.4028 0.7894 0.7700  1 As 2.60
4 Br 0.9618 0.5984 0.2304  1 As 2.60
5 Br 0.5972 0.2106 0.2300  1 As 2.60
6 Br 0.0382 0.4016 0.7696  1 As 2.60
7 Br 0.2107 0.9621 0.2303  1 As 2.60
8 Sr 0.5000 0.5000 0.5000  6 Br 3.13

***

SrAsBr2: relaxed, PBE.

Output
As for the density of states at the Fermi level: 5.1 states/eV per cell. As for the space-group type: I-42d, No. 122.

Unit cell a=5.1053 b=5.1053 c=10.4257 alpha=75.83 beta=75.83 gamma=90.00
Closest atoms and distances in Å follow each position.
Sites, in units of the cell vectors:
1 Br 0.6010 0.1250 0.2500  2 As 2.99, 2 Sr 3.09
2 Br 0.3750 0.3990 0.7500  2 As 2.99, 2 Sr 3.09
3 Br 0.1490 0.6250 0.2500  2 As 2.99, 2 Sr 3.09
4 Br 0.8750 0.8510 0.7500  2 As 2.99, 2 Sr 3.09
5 As 0.2500 0.7500 0.5000  4 Br 2.99
6 As 0.5000 0.5000 0.0000  4 Br 2.99
7 Sr 0.7500 0.2500 0.5000  4 Br 3.09
8 Sr 0.0000 0.0000 0.0000  4 Br 3.09

***

SrAsBr2: relaxed, PBE.

Output
As for the density of states at the Fermi level: 1.7 states/eV per cell. As for the space-group type: Pmmm, No. 47.

Unit cell a=3.9525 b=6.1597 c=4.5956 alpha=90.00 beta=90.00 gamma=90.00
Closest atoms and distances in Å follow each position.
Sites, in units of the cell vectors:
1 Sr 0.5000 0.0000 0.5000  4 Br 3.03
2 Br 0.5000 0.5000 0.0000  4 As 3.03
3 Br 0.0000 0.0000 0.0000  4 Sr 3.03
4 As 0.0000 0.5000 0.5000  4 Br 3.03

***

SrAsBr2: relaxed, PBE.

Output
As for the density of states at the Fermi level: 1.8 states/eV per cell. As for the space-group type: R-3m, No. 166.

Unit cell a=11.8591 b=11.8591 c=11.8591 alpha=20.65 beta=20.65 gamma=20.65
Closest atoms and distances in Å follow each position.
Sites, in units of the cell vectors:
1 As 0.0000 0.0000 0.0000  2 Br 4.04, 6 As 4.25
2 Br 0.8838 0.8838 0.8838  3 Sr 3.02
3 Br 0.1162 0.1162 0.1162  3 Sr 3.02
4 Sr 0.5000 0.5000 0.5000  6 Br 3.02

***

SrAsBr3: relaxed, PBE.

Output
As for the density of states at the Fermi level: 3.9 states/eV per cell. As for the space-group type: Pm-3m, No. 221.

Unit cell a=5.5162 b=5.5162 c=5.5162 alpha=90.00 beta=90.00 gamma=90.00
Closest atoms and distances in Å follow each position.
Sites, in units of the cell vectors:
1 Br 0.0000 0.0000 0.5000  2 As 2.76
2 Br 0.0000 0.5000 0.0000  2 As 2.76
3 Br 0.5000 0.0000 0.0000  2 As 2.76
4 Sr 0.5000 0.5000 0.5000  12 Br 3.90
5 As 0.0000 0.0000 0.0000  6 Br 2.76

***

Sr4AsBr4: relaxed, PBE.

Output
As for the density of states at the Fermi level: 3.8 states/eV per cell. As for the space-group type: C2/m, No. 12.

Unit cell a=4.5299 b=7.7967 c=9.9836 alpha=75.54 beta=76.89 gamma=73.11
Closest atoms and distances in Å follow each position.
Sites, in units of the cell vectors:
1 Br 0.1135 0.1763 0.5966  4 Sr 3.14-3.20
2 Br 0.3033 0.5928 0.8007  5 Sr 3.19-3.31
3 Br 0.8865 0.8237 0.4034  4 Sr 3.14-3.20
4 Br 0.6967 0.4072 0.1993  5 Sr 3.19-3.31
5 Sr 0.9126 0.2716 0.9032  2 As 3.06, 4 Br 3.20-3.31
6 Sr 0.0874 0.7284 0.0968  2 As 3.06, 4 Br 3.20-3.31
7 Sr 0.6944 0.8960 0.7151  1 As 3.02, 5 Br 3.14-3.19
8 Sr 0.3056 0.1040 0.2849  1 As 3.02, 5 Br 3.14-3.19
9 As 0.5000 0.0000 0.0000  6 Sr 3.02-3.06

***

Number 1: E -3.14 eV/atom. Number 2: E -3.17 eV/atom. Number 3: E -3.18 eV/atom. Number 4: E -3.34 eV/atom. Number 5: E -3.73 eV/atom. Number 6: E -3.28 eV/atom. Number 7: E -3.33 eV/atom. Number 8: E -2.91 eV/atom. Number 9: E -3.19 eV/atom. Number 10: E -3.29 eV/atom. Number 11: E -3.20 eV/atom. Number 12: E -2.92 eV/atom. Number 13: E -3.74 eV/atom.